Below is a relaxed LiTm12Pd6 crystal, with properties calculated at the PBE-GGA level.

Its total energy is -5.0174 eV/atom.

The space group is R-3 (No. 148, hexagonal axes) and the conventional cell measures 14.0065, 14.0065 and 8.8588 Å, with angles of 90.00, 90.00 and 120.00 degrees. The inequivalent atoms are Li at (0.0000, 0.0000, 0.0000), Tm at (0.0408, 0.2574, 0.9265), Tm at (0.0566, 0.1765, 0.3245) and Pd at (0.0745, 0.4983, 0.2822).